#P
! Ca2Ni2Sb (PBE-GGA, optimized geometry); values from VASP
! spin magnetization	0.00	μB per atom
&SYSTEM
  ibrav = 0, nat = 10, ntyp = 3
/
ATOMIC_SPECIES
Ca 40.08 Ca.upf
Ni 58.69 Ni.upf
Sb 121.76 Sb.upf
CELL_PARAMETERS angstrom
6.898 0.000 0.000
0.000 6.898 0.000
0.000 0.000 4.387
ATOMIC_POSITIONS crystal
Ca 0.179 0.321 0.000
Ca 0.321 0.821 0.000
Ca 0.679 0.179 0.000
Ca 0.821 0.679 0.000
Ni 0.122 0.622 0.500
Ni 0.378 0.122 0.500
Ni 0.622 0.878 0.500
Ni 0.878 0.378 0.500
Sb 0.000 0.000 0.500
Sb 0.500 0.500 0.500

=====

#Q
! Ca2Ni2Sb (PBE-GGA, optimized geometry); values from VASP
! spin magnetization	0.11	μB per atom
&SYSTEM
  ibrav = 0, nat = 5, ntyp = 3
/
ATOMIC_SPECIES
Ca 40.08 Ca.upf
Ni 58.69 Ni.upf
Sb 121.76 Sb.upf
CELL_PARAMETERS angstrom
-2.793 2.793 3.648
2.793 -2.793 3.648
2.793 2.793 -3.648
ATOMIC_POSITIONS crystal
Ca 0.250 0.750 0.500
Ca 0.750 0.250 0.500
Ni 0.156 0.156 0.000
Ni 0.844 0.844 0.000
Sb 0.500 0.500 0.000

=====

#P wins, 127 meV per atom ahead of the next structure.

=====

#P
! Ca2ScNi (PBE-GGA, optimized geometry); values from VASP
! spin magnetization	0.00	μB per atom
&SYSTEM
  ibrav = 0, nat = 4, ntyp = 3
/
ATOMIC_SPECIES
Ca 40.08 Ca.upf
Sc 44.96 Sc.upf
Ni 58.69 Ni.upf
CELL_PARAMETERS angstrom
-2.206 2.206 5.103
2.206 -2.206 5.103
2.206 2.206 -5.103
ATOMIC_POSITIONS crystal
Ca 0.250 0.750 0.500
Ca 0.750 0.250 0.500
Sc 0.000 0.000 0.000
Ni 0.500 0.500 0.000

=====

#Q
! Ca2ScNi (PBE-GGA, optimized geometry); values from VASP
! spin magnetization	0.00	μB per atom
&SYSTEM
  ibrav = 0, nat = 4, ntyp = 3
/
ATOMIC_SPECIES
Ca 40.08 Ca.upf
Sc 44.96 Sc.upf
Ni 58.69 Ni.upf
CELL_PARAMETERS angstrom
-1.739 2.789 5.538
1.739 -2.789 5.538
1.739 2.789 -5.538
ATOMIC_POSITIONS crystal
Ca 0.000 0.000 0.000
Ca 0.689 0.189 0.500
Sc 0.370 0.370 0.000
Ni 0.210 0.710 0.500

=====

#Q wins, 319 meV per atom ahead of the next structure.